1.
An optimized crystal structure of Sc2AuSe. Source: Alexandria, functional PBEsol.

Results
Uncorrected formation energy, eV/atom: -0.9673
V, A^3/atom: 18.80

Cell lengths 3.332, 4.754, 4.754 Å; angles 92.83, 90.00, 90.00 degrees
Element x y z (fractional)
Se 0.500 0.000 0.000
Sc 0.000 0.000 0.500
Sc 0.000 0.500 0.000
Au 0.500 0.500 0.500

=====

2.
An optimized crystal structure of ScSiAu3. Source: Alexandria, functional PBEsol.

Results
Uncorrected formation energy, eV/atom: -0.0452
V, A^3/atom: 20.27

Cell lengths 4.662, 4.662, 4.662 Å; angles 90.00, 90.00, 90.00 degrees
Element x y z (fractional)
Au 0.500 0.000 0.000
Au 0.000 0.500 0.000
Si 0.000 0.000 0.000
Sc 0.500 0.500 0.500
Au 0.000 0.000 0.500